No. 1
# Tl6MoBr12 (GGA-PBE, relaxed)
data_Tl6MoBr12
_chemical_formula_sum 'Tl18 Mo3 Br36'
_cell_length_a 13.2707
_cell_length_b 13.2707
_cell_length_c 15.0702
_cell_angle_alpha 90.00
_cell_angle_beta 90.00
_cell_angle_gamma 120.00
_space_group_name_H-M_alt 'R -3'
_space_group_IT_number 148
_space_group_name_Hall '-R 3'
loop_
_atom_site_label
_atom_site_fract_x
_atom_site_fract_y
_atom_site_fract_z
Tl1 0.0422 0.2748 0.1044
Mo1 0.0000 0.0000 0.5000
Br1 0.0330 0.2198 0.8967
Br2 0.0796 0.1792 0.4048
# - E_form (uncorrected) (meV/atom) = -661
# - total magnetic moment (μB/cell) = 0.1

No. 2
# TlMoBr2 (GGA-PBE, relaxed)
data_TlMoBr2
_chemical_formula_sum 'Tl1 Mo1 Br2'
_cell_length_a 3.987
_cell_length_b 3.987
_cell_length_c 7.986
_cell_angle_alpha 90.00
_cell_angle_beta 90.00
_cell_angle_gamma 90.00
_space_group_name_H-M_alt 'P 4 m m'
_space_group_IT_number 99
_space_group_name_Hall 'P 4 -2'
loop_
_atom_site_label
_atom_site_fract_x
_atom_site_fract_y
_atom_site_fract_z
Tl1 0.000 0.000 0.000
Mo1 0.500 0.500 0.437
Br1 0.000 0.000 0.428
Br2 0.500 0.500 0.782
# - E_form (uncorrected) (meV/atom) = 280
# - total magnetic moment (μB/cell) = 4.5

No. 3
# TlMoBr6 (GGA-PBE, relaxed)
data_TlMoBr6
_chemical_formula_sum 'Tl3 Mo3 Br18'
_cell_length_a 7.1730
_cell_length_b 7.1730
_cell_length_c 19.6547
_cell_angle_alpha 90.00
_cell_angle_beta 90.00
_cell_angle_gamma 120.00
_space_group_name_H-M_alt 'R -3 m'
_space_group_IT_number 166
_space_group_name_Hall '-R 3 2"'
loop_
_atom_site_label
_atom_site_fract_x
_atom_site_fract_y
_atom_site_fract_z
Tl1 0.0000 0.0000 0.0000
Mo1 0.0000 0.0000 0.5000
Br1 0.0039 0.5020 0.0926
# - E_form (uncorrected) (meV/atom) = -500
# - total magnetic moment (μB/cell) = 3.0

No. 4
# Tl3MoBr7 (GGA-PBE, relaxed)
data_Tl3MoBr7
_chemical_formula_sum 'Tl6 Mo2 Br14'
_cell_length_a 11.324
_cell_length_b 9.943
_cell_length_c 8.278
_cell_angle_alpha 90.00
_cell_angle_beta 117.76
_cell_angle_gamma 90.00
_space_group_name_H-M_alt 'C 1 m 1'
_space_group_IT_number 8
_space_group_name_Hall 'C -2y'
loop_
_atom_site_label
_atom_site_fract_x
_atom_site_fract_y
_atom_site_fract_z
Tl1 0.000 0.000 0.000
Tl2 0.006 0.291 0.537
Mo1 0.498 0.000 0.029
Br1 0.136 0.314 0.251
Br2 0.160 0.500 0.891
Br3 0.339 0.000 0.169
Br4 0.359 0.183 0.799
Br5 0.485 0.500 0.621
# - E_form (uncorrected) (meV/atom) = -684
# - total magnetic moment (μB/cell) = 4.0

No. 5
# TlMoBr2 (GGA-PBE, relaxed)
data_TlMoBr2
_chemical_formula_sum 'Tl1 Mo1 Br2'
_cell_length_a 3.518
_cell_length_b 3.518
_cell_length_c 8.223
_cell_angle_alpha 90.00
_cell_angle_beta 90.00
_cell_angle_gamma 90.00
_space_group_name_H-M_alt 'P 4 m m'
_space_group_IT_number 99
_space_group_name_Hall 'P 4 -2'
loop_
_atom_site_label
_atom_site_fract_x
_atom_site_fract_y
_atom_site_fract_z
Tl1 0.000 0.000 0.000
Mo1 0.500 0.500 0.733
Br1 0.000 0.000 0.592
Br2 0.500 0.500 0.230
# - E_form (uncorrected) (meV/atom) = 341
# - total magnetic moment (μB/cell) = 2.6

No. 6
# TlMo2Br (GGA-PBE, relaxed)
data_TlMo2Br
_chemical_formula_sum 'Tl3 Mo6 Br3'
_cell_length_a 3.0910
_cell_length_b 3.0910
_cell_length_c 26.8563
_cell_angle_alpha 90.00
_cell_angle_beta 90.00
_cell_angle_gamma 120.00
_space_group_name_H-M_alt 'R -3 m'
_space_group_IT_number 166
_space_group_name_Hall '-R 3 2"'
loop_
_atom_site_label
_atom_site_fract_x
_atom_site_fract_y
_atom_site_fract_z
Tl1 0.0000 0.0000 0.0000
Mo1 0.0000 0.0000 0.2453
Br1 0.0000 0.0000 0.5000
# - E_form (uncorrected) (meV/atom) = 864
# - total magnetic moment (μB/cell) = 3.9

No. 7
# TlMo2Br (GGA-PBE, relaxed)
data_TlMo2Br
_chemical_formula_sum 'Tl2 Mo4 Br2'
_cell_length_a 5.721
_cell_length_b 10.304
_cell_length_c 3.349
_cell_angle_alpha 90.00
_cell_angle_beta 125.59
_cell_angle_gamma 90.00
_space_group_name_H-M_alt 'C 1 2/m 1'
_space_group_IT_number 12
_space_group_name_Hall '-C 2y'
loop_
_atom_site_label
_atom_site_fract_x
_atom_site_fract_y
_atom_site_fract_z
Tl1 0.000 0.000 0.000
Mo1 0.250 0.250 0.500
Br1 0.000 0.500 0.000
# - E_form (uncorrected) (meV/atom) = 1041
# - total magnetic moment (μB/cell) = 0.0

No. 8
# TlMoBr4 (GGA-PBE, relaxed)
data_TlMoBr4
_chemical_formula_sum 'Tl2 Mo2 Br8'
_cell_length_a 7.026
_cell_length_b 7.811
_cell_length_c 8.702
_cell_angle_alpha 89.89
_cell_angle_beta 69.89
_cell_angle_gamma 73.32
_space_group_name_H-M_alt 'P -1'
_space_group_IT_number 2
_space_group_name_Hall '-P 1'
loop_
_atom_site_label
_atom_site_fract_x
_atom_site_fract_y
_atom_site_fract_z
Tl1 0.195 0.097 0.133
Mo1 0.497 0.751 0.498
Br1 0.218 0.075 0.550
Br2 0.221 0.569 0.548
Br3 0.431 0.765 0.811
Br4 0.457 0.265 0.809
# - E_form (uncorrected) (meV/atom) = -584
# - total magnetic moment (μB/cell) = 6.0

No. 9
# TlMoBr2 (GGA-PBE, relaxed)
data_TlMoBr2
_chemical_formula_sum 'Tl1 Mo1 Br2'
_cell_length_a 3.747
_cell_length_b 3.747
_cell_length_c 7.962
_cell_angle_alpha 90.00
_cell_angle_beta 90.00
_cell_angle_gamma 90.00
_space_group_name_H-M_alt 'P 4/m m m'
_space_group_IT_number 123
_space_group_name_Hall '-P 4 2'
loop_
_atom_site_label
_atom_site_fract_x
_atom_site_fract_y
_atom_site_fract_z
Tl1 0.000 0.000 0.000
Mo1 0.000 0.000 0.500
Br1 0.500 0.500 0.279
# - E_form (uncorrected) (meV/atom) = 364
# - total magnetic moment (μB/cell) = 5.0

No. 10
# TlMo2Br (GGA-PBE, relaxed)
data_TlMo2Br
_chemical_formula_sum 'Tl2 Mo4 Br2'
_cell_length_a 13.131
_cell_length_b 3.296
_cell_length_c 4.941
_cell_angle_alpha 90.00
_cell_angle_beta 99.62
_cell_angle_gamma 90.00
_space_group_name_H-M_alt 'C 1 m 1'
_space_group_IT_number 8
_space_group_name_Hall 'C -2y'
loop_
_atom_site_label
_atom_site_fract_x
_atom_site_fract_y
_atom_site_fract_z
Tl1 0.000 0.000 0.000
Mo1 0.020 0.500 0.516
Mo2 0.386 0.500 0.443
Br1 0.230 0.000 0.573
# - E_form (uncorrected) (meV/atom) = 539
# - total magnetic moment (μB/cell) = 0.0

No. 11
# TlMoBr2 (GGA-PBE, relaxed)
data_TlMoBr2
_chemical_formula_sum 'Tl2 Mo2 Br4'
_cell_length_a 3.290
_cell_length_b 5.324
_cell_length_c 13.984
_cell_angle_alpha 90.00
_cell_angle_beta 90.00
_cell_angle_gamma 90.00
_space_group_name_H-M_alt 'I m m m'
_space_group_IT_number 71
_space_group_name_Hall '-I 2 2'
loop_
_atom_site_label
_atom_site_fract_x
_atom_site_fract_y
_atom_site_fract_z
Tl1 0.000 0.000 0.000
Mo1 0.000 0.000 0.500
Br1 0.000 0.500 0.149
# - E_form (uncorrected) (meV/atom) = 21
# - total magnetic moment (μB/cell) = 3.6

No. 12
# Tl5Mo2Br12 (GGA-PBE, relaxed)
data_Tl5Mo2Br12
_chemical_formula_sum 'Tl10 Mo4 Br24'
_cell_length_a 18.128
_cell_length_b 7.936
_cell_length_c 10.467
_cell_angle_alpha 90.00
_cell_angle_beta 106.70
_cell_angle_gamma 90.00
_space_group_name_H-M_alt 'C 1 2/m 1'
_space_group_IT_number 12
_space_group_name_Hall '-C 2y'
loop_
_atom_site_label
_atom_site_fract_x
_atom_site_fract_y
_atom_site_fract_z
Tl1 0.000 0.000 0.000
Tl2 0.189 0.500 0.300
Tl3 0.208 0.500 0.863
Mo1 0.000 0.251 0.500
Br1 0.006 0.500 0.671
Br2 0.007 0.000 0.669
Br3 0.145 0.251 0.557
Br4 0.148 0.253 0.063
# - E_form (uncorrected) (meV/atom) = -649
# - total magnetic moment (μB/cell) = 9.9

No. 13
# Tl3MoBr (GGA-PBE, relaxed)
data_Tl3MoBr
_chemical_formula_sum 'Tl3 Mo1 Br1'
_cell_length_a 6.002
_cell_length_b 6.002
_cell_length_c 6.002
_cell_angle_alpha 90.00
_cell_angle_beta 90.00
_cell_angle_gamma 90.00
_space_group_name_H-M_alt 'P m -3 m'
_space_group_IT_number 221
_space_group_name_Hall '-P 4 2 3'
loop_
_atom_site_label
_atom_site_fract_x
_atom_site_fract_y
_atom_site_fract_z
Tl1 0.000 0.000 0.500
Mo1 0.500 0.500 0.500
Br1 0.000 0.000 0.000
# - E_form (uncorrected) (meV/atom) = 981
# - total magnetic moment (μB/cell) = 4.8

No. 14
# TlMo2Br (GGA-PBE, relaxed)
data_TlMo2Br
_chemical_formula_sum 'Tl1 Mo2 Br1'
_cell_length_a 3.522
_cell_length_b 4.975
_cell_length_c 5.591
_cell_angle_alpha 90.00
_cell_angle_beta 93.91
_cell_angle_gamma 90.00
_space_group_name_H-M_alt 'P 1 2/m 1'
_space_group_IT_number 10
_space_group_name_Hall '-P 2y'
loop_
_atom_site_label
_atom_site_fract_x
_atom_site_fract_y
_atom_site_fract_z
Tl1 0.000 0.000 0.000
Mo1 0.304 0.500 0.150
Br1 0.500 0.000 0.500
# - E_form (uncorrected) (meV/atom) = 729
# - total magnetic moment (μB/cell) = 0.0

No. 15
# TlMo2Br (GGA-PBE, relaxed)
data_TlMo2Br
_chemical_formula_sum 'Tl2 Mo4 Br2'
_cell_length_a 4.357
_cell_length_b 4.357
_cell_length_c 8.026
_cell_angle_alpha 90.00
_cell_angle_beta 90.00
_cell_angle_gamma 90.00
_space_group_name_H-M_alt 'I -4 m 2'
_space_group_IT_number 119
_space_group_name_Hall 'I -4 -2'
loop_
_atom_site_label
_atom_site_fract_x
_atom_site_fract_y
_atom_site_fract_z
Tl1 0.000 0.000 0.000
Mo1 0.000 0.000 0.500
Mo2 0.000 0.500 0.250
Br1 0.000 0.500 0.750
# - E_form (uncorrected) (meV/atom) = 1068
# - total magnetic moment (μB/cell) = 0.0

No. 16
# TlMoBr2 (GGA-PBE, relaxed)
data_TlMoBr2
_chemical_formula_sum 'Tl2 Mo2 Br4'
_cell_length_a 3.430
_cell_length_b 6.301
_cell_length_c 9.977
_cell_angle_alpha 90.00
_cell_angle_beta 90.00
_cell_angle_gamma 90.00
_space_group_name_H-M_alt 'C m m 2'
_space_group_IT_number 35
_space_group_name_Hall 'C 2 -2'
loop_
_atom_site_label
_atom_site_fract_x
_atom_site_fract_y
_atom_site_fract_z
Tl1 0.000 0.000 0.000
Mo1 0.000 0.500 0.770
Br1 0.000 0.000 0.582
Br2 0.000 0.500 0.222
# - E_form (uncorrected) (meV/atom) = 301
# - total magnetic moment (μB/cell) = 2.8

No. 17
# TlMoBr2 (GGA-PBE, relaxed)
data_TlMoBr2
_chemical_formula_sum 'Tl3 Mo3 Br6'
_cell_length_a 3.3802
_cell_length_b 3.3802
_cell_length_c 32.7827
_cell_angle_alpha 90.00
_cell_angle_beta 90.00
_cell_angle_gamma 120.00
_space_group_name_H-M_alt 'R -3 m'
_space_group_IT_number 166
_space_group_name_Hall '-R 3 2"'
loop_
_atom_site_label
_atom_site_fract_x
_atom_site_fract_y
_atom_site_fract_z
Tl1 0.0000 0.0000 0.0000
Mo1 0.0000 0.0000 0.5000
Br1 0.0000 0.0000 0.1126
# - E_form (uncorrected) (meV/atom) = 26
# - total magnetic moment (μB/cell) = 0.0

No. 18
# TlMo2Br (GGA-PBE, relaxed)
data_TlMo2Br
_chemical_formula_sum 'Tl3 Mo6 Br3'
_cell_length_a 3.3597
_cell_length_b 3.3597
_cell_length_c 27.0192
_cell_angle_alpha 90.00
_cell_angle_beta 90.00
_cell_angle_gamma 120.00
_space_group_name_H-M_alt 'R 3 m'
_space_group_IT_number 160
_space_group_name_Hall 'R 3 -2"'
loop_
_atom_site_label
_atom_site_fract_x
_atom_site_fract_y
_atom_site_fract_z
Tl1 0.0000 0.0000 0.0000
Mo1 0.0000 0.0000 0.4830
Mo2 0.0000 0.0000 0.7578
Br1 0.0000 0.0000 0.2261
# - E_form (uncorrected) (meV/atom) = 298
# - total magnetic moment (μB/cell) = 0.0

No. 19
# TlMoBr2 (GGA-PBE, relaxed)
data_TlMoBr2
_chemical_formula_sum 'Tl4 Mo4 Br8'
_cell_length_a 8.861
_cell_length_b 8.861
_cell_length_c 5.844
_cell_angle_alpha 90.00
_cell_angle_beta 90.00
_cell_angle_gamma 90.00
_space_group_name_H-M_alt 'I -4 2 d'
_space_group_IT_number 122
_space_group_name_Hall 'I -4 2bw'
loop_
_atom_site_label
_atom_site_fract_x
_atom_site_fract_y
_atom_site_fract_z
Tl1 0.000 0.000 0.000
Mo1 0.000 0.000 0.500
Br1 0.117 0.750 0.625
# - E_form (uncorrected) (meV/atom) = 171
# - total magnetic moment (μB/cell) = 0.0

No. 20
# TlMo2Br (GGA-PBE, relaxed)
data_TlMo2Br
_chemical_formula_sum 'Tl4 Mo8 Br4'
_cell_length_a 4.265
_cell_length_b 4.265
_cell_length_c 19.014
_cell_angle_alpha 90.00
_cell_angle_beta 90.00
_cell_angle_gamma 90.00
_space_group_name_H-M_alt 'I -4 2 d'
_space_group_IT_number 122
_space_group_name_Hall 'I -4 2bw'
loop_
_atom_site_label
_atom_site_fract_x
_atom_site_fract_y
_atom_site_fract_z
Tl1 0.000 0.000 0.000
Mo1 0.166 0.250 0.625
Br1 0.000 0.000 0.500
# - E_form (uncorrected) (meV/atom) = 1024
# - total magnetic moment (μB/cell) = 0.0